1.
The following is a GGA-PBE calculation of Ti6AsH2 after structural relaxation, from Alexandria.

Lattice parameters (Å, degrees): 10.3619 8.7707 5.9965 90.00 111.79 90.00
Closest atoms and distances in Å follow each position.
Space group C2/c (No. 15)
Asymmetric unit:
Ti 0.1175 0.2018 0.4853 (multiplicity 8)  1 H 1.91
Ti 0.1283 0.4290 0.1793 (multiplicity 8)  1 H 1.90
Ti 0.1612 0.1282 0.0220 (multiplicity 8)  2 H 1.93-1.98
As 0.0000 0.3337 0.7500 (multiplicity 4)  8 Ti 2.56-2.60
H 0.1762 0.0462 0.7253 (multiplicity 8)  4 Ti 1.90-1.98

Magnetization in μB/cell: 0.0
Final energy in eV for the cell shown: -245.7
DOS(E_F) in states/eV/f.u.: 7.93


2.
The following is a GGA-PBE calculation of RePt2Rh8W after structural relaxation, from Alexandria.

Lattice parameters (Å, degrees): 7.4619 7.4619 8.8474 90.00 90.00 90.00
Closest atoms and distances in Å follow each position.
Space group I-4m2 (No. 119)
Asymmetric unit:
Re 0.0000 0.0000 0.0000 (multiplicity 2)  4 Rh 2.38
Pt 0.0000 0.0000 0.5000 (multiplicity 2)  4 Rh 2.49
Pt 0.0000 0.5000 0.7500 (multiplicity 2)  4 Rh 2.46
Rh 0.0000 0.1794 0.2627 (multiplicity 8)  1 W 2.40, 1 Pt 2.49, 1 Rh 2.68, 1 Re 2.68
Rh 0.0000 0.3185 0.9824 (multiplicity 8)  1 Re 2.38, 1 Pt 2.46
W 0.0000 0.5000 0.2500 (multiplicity 2)  4 Rh 2.40

Magnetization in μB/cell: 0.0
Energy of formation from the pure elements in meV/atom: 1036
DOS(E_F) in states/eV/f.u.: 18.31